Computed, not measured: a geometry-optimized TiSb2TePt structure at the GGA-PBE level of DFT.

a b c (Å): 5.1663 5.1663 5.3795
angles (deg): 90.00 90.00 90.00
Positions (direct):
Sb  0.0000  0.5000  0.0000
Sb  0.5000  0.0000  0.0000
Te  0.0000  0.0000  0.5000
Pt  0.0000  0.0000  0.0000
Ti  0.5000  0.5000  0.5000

Properties
The value obtained for the energy is -22.299 eV/cell. The value obtained for the calculated volume is 28.72 A^3/atom. The value obtained for the energy relative to the elements, uncorrected is 605 meV per atom. Its energy relative to the lowest polymorph listed for this composition is 92 meV per atom. The space group is P4/mmm.

Computed, not measured: a geometry-optimized Sm3PuSc2Se6 structure at the GGA-PBE level of DFT.

a b c (Å): 7.0233 7.0233 7.0974
angles (deg): 99.52 99.52 120.04
Positions (direct):
Sm  0.1620  0.8380  0.5000
Sm  0.8380  0.1620  0.5000
Sm  0.5000  0.5000  0.5000
Pu  0.0000  0.0000  0.0000
Sc  0.3320  0.6680  0.0000
Sc  0.6680  0.3320  0.0000
Se  0.9217  0.5768  0.7647
Se  0.7308  0.7308  0.2289
Se  0.0783  0.4232  0.2353
Se  0.5768  0.9217  0.7647
Se  0.2692  0.2692  0.7711
Se  0.4232  0.0783  0.2353

Properties
The value obtained for the energy is -82.357 eV/cell. The value obtained for the calculated volume is 23.83 A^3/atom. The value obtained for the energy relative to the elements, uncorrected is -1691 meV per atom. The space group is C2/m.

Computed, not measured: a geometry-optimized Na5LaPb6 structure at the GGA-PBE level of DFT.

a b c (Å): 4.9350 9.6991 7.7676
angles (deg): 90.00 71.12 90.00
Positions (direct):
Pb  0.8334  0.7477  0.3354
Pb  0.8334  0.2523  0.3354
Pb  0.5000  0.2462  0.0000
Pb  0.5000  0.7538  0.0000
Pb  0.1666  0.7477  0.6646
Pb  0.1666  0.2523  0.6646
Na  0.6672  0.5000  0.6659
Na  0.3227  0.0000  0.3546
Na  0.0000  0.5000  0.0000
Na  0.6773  0.0000  0.6454
Na  0.3328  0.5000  0.3341
La  0.0000  0.0000  0.0000

Properties
The value obtained for the energy is -36.158 eV/cell. The value obtained for the energy of formation from the pure elements is -0.20 eV per atom. The value obtained for the calculated volume is 29.32 A^3/atom. The space group is P2/m.